The following is a DFT calculation (GGA-PBE) of NaY2Rh2 after structural relaxation.

```
NaY2Rh2
1.0
8.2374 0.0000 0.0000
0.0000 8.2374 0.0000
0.0000 0.0000 3.2756
Na Y Rh
2 4 4
Direct
0.0000 0.0000 0.0000 Na
0.5000 0.5000 0.0000 Na
0.1466 0.3534 0.0000 Y
0.3534 0.8534 0.0000 Y
0.6466 0.1466 0.0000 Y
0.8534 0.6466 0.0000 Y
0.1452 0.6452 0.5000 Rh
0.3548 0.1452 0.5000 Rh
0.6452 0.8548 0.5000 Rh
0.8548 0.3548 0.5000 Rh
```

Results
**Excess energy over the best structure of this formula in the dataset**: 92 meV per atom
**Uncorrected energy**: -6.20 eV/atom
**Magnetization**: 0.00 μB/cell
**Energy of formation**: -0.4143 eV/atom